Entry from the Alexandria database: a geometry-optimized HgB2Pd structure (PBEsol).

Cell: 5.1449 5.1449 5.9067 Å, 115.82 115.82 90.00°
With the nearest neighbours (Å) after each atom.
Fractional coordinates of all 8 atoms:
B 0.8312 0.3750 0.2500  2 Pd 2.03
B 0.4188 0.8750 0.2500  2 Pd 2.03
Pd 0.5000 0.5000 0.0000  4 B 2.03
Pd 0.7500 0.2500 0.5000  4 B 2.03
B 0.1250 0.1688 0.7500  2 Pd 2.03
Hg 0.2500 0.7500 0.5000  4 B 2.30
B 0.6250 0.5812 0.7500  2 Pd 2.03
Hg 0.0000 0.0000 0.0000  4 B 2.30

Computed properties:
total moment = 0.0 Bohr magnetons per cell
calculated volume = 123 Å³ per cell

=====

Entry from the Alexandria database: a geometry-optimized HgBPd3 structure (PBEsol).

Cell: 4.1638 4.1638 4.1638 Å, 90.00 90.00 90.00°
With the nearest neighbours (Å) after each atom.
Fractional coordinates of all 5 atoms:
Pd 0.0000 0.0000 0.5000  2 B 2.08
Pd 0.0000 0.5000 0.0000  2 B 2.08
Hg 0.5000 0.5000 0.5000  12 Pd 2.94
B 0.0000 0.0000 0.0000  6 Pd 2.08
Pd 0.5000 0.0000 0.0000  2 B 2.08

Computed properties:
total moment = 0.0 Bohr magnetons per cell
calculated volume = 72 Å³ per cell

=====

Entry from the Alexandria database: a geometry-optimized ZrHg2BPd structure (PBEsol).

Cell: 4.8869 4.9995 4.9995 Å, 90.00 90.00 90.00°
With the nearest neighbours (Å) after each atom.
Fractional coordinates of all 5 atoms:
Pd 0.0000 0.0000 0.0000  2 Zr 2.44, 4 Hg 2.50
Hg 0.0000 0.0000 0.5000  2 Pd 2.50
Hg 0.0000 0.5000 0.0000  2 Pd 2.50
B 0.5000 0.5000 0.5000  8 Hg 3.50, 4 Zr 3.54
Zr 0.5000 0.0000 0.0000  2 Pd 2.44

Computed properties:
total moment = 0.0 Bohr magnetons per cell
calculated volume = 122 Å³ per cell

=====

Entry from the Alexandria database: a geometry-optimized HgB2Pt2 structure (PBEsol).

Cell: 3.1672 3.1672 6.9957 Å, 103.08 103.08 90.00°
With the nearest neighbours (Å) after each atom.
Fractional coordinates of all 5 atoms:
Hg 0.0000 0.0000 0.0000  8 Pt 2.94, 4 Hg 3.17
Pt 0.3562 0.3562 0.7123  4 B 2.12
Pt 0.6438 0.6438 0.2877  4 B 2.12
B 0.7500 0.2500 0.5000  4 Pt 2.12, 4 B 2.24
B 0.2500 0.7500 0.5000  4 Pt 2.12, 4 B 2.24

Computed properties:
total moment = 0.0 Bohr magnetons per cell
calculated volume = 66 Å³ per cell

=====

Entry from the Alexandria database: a geometry-optimized HgBPt3 structure (PBEsol).

Cell: 5.6751 5.6751 6.2583 Å, 63.04 63.04 60.00°
With the nearest neighbours (Å) after each atom.
Fractional coordinates of all 10 atoms:
Hg 0.4039 0.4039 0.7882  9 Pt 2.84-2.91, 1 Hg 3.07
Pt 0.9141 0.9141 0.7647  2 B 2.16
Pt 0.0859 0.0859 0.2353  2 B 2.16
Pt 0.5929 0.0859 0.2353  2 B 2.16
B 0.8318 0.8318 0.5046  6 Pt 2.16
B 0.1682 0.1682 0.4954  6 Pt 2.16
Hg 0.5961 0.5961 0.2118  9 Pt 2.84-2.91, 1 Hg 3.07
Pt 0.0859 0.5929 0.2353  2 B 2.16
Pt 0.9141 0.4071 0.7647  2 B 2.16
Pt 0.4071 0.9141 0.7647  2 B 2.16

Computed properties:
total moment = 0.0 Bohr magnetons per cell
calculated volume = 149 Å³ per cell

=====

Entry from the Alexandria database: a geometry-optimized Hg3BPt structure (PBEsol).

Cell: 5.1543 5.1543 5.1543 Å, 90.00 90.00 90.00°
With the nearest neighbours (Å) after each atom.
Fractional coordinates of all 5 atoms:
Pt 0.0000 0.0000 0.0000  6 Hg 2.58
Hg 0.0000 0.0000 0.5000  2 Pt 2.58
Hg 0.0000 0.5000 0.0000  2 Pt 2.58
B 0.5000 0.5000 0.5000  12 Hg 3.64
Hg 0.5000 0.0000 0.0000  2 Pt 2.58

Computed properties:
total moment = 0.0 Bohr magnetons per cell
calculated volume = 137 Å³ per cell

=====

Entry from the Alexandria database: a geometry-optimized YHg2BPt structure (PBEsol).

Cell: 4.0046 5.2038 5.2038 Å, 90.00 90.00 90.00°
With the nearest neighbours (Å) after each atom.
Fractional coordinates of all 5 atoms:
Hg 0.0000 0.5000 0.0000  2 Pt 2.60
Pt 0.0000 0.0000 0.0000  2 B 2.00
B 0.5000 0.0000 0.0000  2 Pt 2.00
Hg 0.0000 0.0000 0.5000  2 Pt 2.60
Y 0.5000 0.5000 0.5000  8 Hg 3.28

Computed properties:
total moment = 0.0 Bohr magnetons per cell
calculated volume = 108 Å³ per cell

=====

Entry from the Alexandria database: a geometry-optimized Rb2HgB structure (PBEsol).

Cell: 5.7418 5.7418 5.7418 Å, 60.00 60.00 60.00°
With the nearest neighbours (Å) after each atom.
Fractional coordinates of all 4 atoms:
Rb 0.2500 0.2500 0.2500  4 Hg 3.52, 4 B 3.52
Hg 0.5000 0.5000 0.5000  8 Rb 3.52
B 0.0000 0.0000 0.0000  8 Rb 3.52
Rb 0.7500 0.7500 0.7500  4 Hg 3.52, 4 B 3.52

Computed properties:
total moment = 2.4 Bohr magnetons per cell
calculated volume = 134 Å³ per cell

=====

| no. | raw total energy (eV/atom) | calculated density (kg/m³) |
| --- | --- | --- |
| 1 | -4.252 | 8861 |
| 2 | -5.312 | 12207 |
| 3 | -3.463 | 8288 |
| 4 | -5.820 | 15296 |
| 5 | -5.919 | 17790 |
| 6 | -1.981 | 9794 |
| 7 | -4.256 | 10657 |
| 8 | -1.466 | 4743 |